# SbPd3C

A relaxed SbPd3C crystal (PBE-GGA, Alexandria).

Unit cell a=4.267 b=4.267 c=4.267 alpha=90.00 beta=90.00 gamma=90.00
Sites, in units of the cell vectors:
Sb  0.500  0.500  0.500
C  0.000  0.000  0.000
Pd  0.000  0.500  0.000
Pd  0.000  0.000  0.500
Pd  0.500  0.000  0.000

Calculated values
* energy: -0.413 Ry per atom
* raw formation energy: 161 meV/atom
* ΔE to the lowest computed polymorph: 0.000 eV/atom
* crystal system: cubic